A plane-wave DFT calculation with PBE was carried out for La6ErHg2 after structural relaxation.

a = 3.8550 Å, b = 6.8639 Å, c = 12.1443 Å
α = 75.09°, β = 80.87°, γ = 73.69°
Last column: nearest neighbours and their distance in Å.
Fractional positions:
La: 0.9753 0.7135 0.3359  2 Hg 3.32, 3 La 3.54-3.68
La: 0.0247 0.2865 0.6641  2 Hg 3.32, 3 La 3.54-3.68
La: 0.6931 0.2089 0.4049  10 La 3.50-3.86, 2 Hg 3.51
La: 0.6837 0.5087 0.1239  2 Hg 3.34, 5 La 3.50-3.68
La: 0.3163 0.4913 0.8761  2 Hg 3.34, 5 La 3.50-3.68
La: 0.3069 0.7911 0.5951  10 La 3.50-3.86, 2 Hg 3.51
Hg: 0.3656 0.0843 0.1844  2 Er 3.08, 4 La 3.32-3.34
Hg: 0.6344 0.9157 0.8156  2 Er 3.08, 4 La 3.32-3.34
Er: 0.0000 0.0000 0.0000  4 Hg 3.08

Summary:
- Symmetry: No. 12
- DFT total energy: -4.08 eV/atom